# PBE-GGA ThAl3Au3, optimized geometry
# distance to the lowest polymorph of the same formula	427.2	meV per atom
# N(E_F)	8.759	states/eV/cell
# formation enthalpy at 0 K	-0.148	eV/atom
data_ThAl3Au3
_space_group_name_H-M_alt 'P 1'
_space_group_IT_number 1
_space_group_name_Hall 'P 1'
_cell_length_a 6.893
_cell_length_b 6.893
_cell_length_c 6.893
_cell_angle_alpha 90.00
_cell_angle_beta 90.00
_cell_angle_gamma 90.00
loop_
_atom_site_label
_atom_site_type_symbol
_atom_site_fract_x
_atom_site_fract_y
_atom_site_fract_z
Th1 Th 0.000 0.000 0.000
Th2 Th 0.500 0.500 0.500
Al1 Al 0.000 0.250 0.500
Al2 Al 0.000 0.750 0.500
Al3 Al 0.250 0.500 0.000
Al4 Al 0.500 0.000 0.250
Al5 Al 0.500 0.000 0.750
Al6 Al 0.750 0.500 0.000
Au1 Au 0.000 0.500 0.250
Au2 Au 0.000 0.500 0.750
Au3 Au 0.250 0.000 0.500
Au4 Au 0.500 0.250 0.000
Au5 Au 0.500 0.750 0.000
Au6 Au 0.750 0.000 0.500